Crystalline HfHSe2N at its relaxed geometry. Source: Alexandria, functional PBE.

Output
The calculation puts the energy above the lowest structure with this stoichiometry at 0.000 eV/atom. Its space group is P4/mmm, No. 123.

Cell: 5.2439 5.2439 4.2093 Å, 90.00 90.00 90.00°
Site moments in Bohr magnetons follow the coordinates.
Sites, in units of the cell vectors:
Se: 0.0000 0.5000 0.0000  0.40
Se: 0.5000 0.0000 0.0000  0.40
H: 0.5000 0.5000 0.5000  0.36
N: 0.0000 0.0000 0.5000  0.82
Hf: 0.0000 0.0000 0.0000  -0.06

---

Crystalline HfHSeN2 at its relaxed geometry. Source: Alexandria, functional PBE.

Output
The calculation puts the energy above the lowest structure with this stoichiometry at 0.045 eV/atom. Its space group is P4/mmm, No. 123.

Cell: 4.0707 4.0707 5.5150 Å, 90.00 90.00 90.00°
Sites, in units of the cell vectors:
Se: 0.0000 0.0000 0.5000
Hf: 0.0000 0.0000 0.0000
N: 0.5000 0.0000 0.0000
N: 0.0000 0.5000 0.0000
H: 0.5000 0.5000 0.5000

---

Crystalline HfSi2HN at its relaxed geometry. Source: Alexandria, functional PBE.

Output
Its space group is P4/mmm, No. 123. The value obtained for the raw total energy is -6.216 eV/atom.

Cell: 3.3567 5.2820 3.3567 Å, 90.00 90.00 90.00°
Sites, in units of the cell vectors:
Si: 0.5000 0.0000 0.0000
Si: 0.0000 0.0000 0.5000
H: 0.0000 0.0000 0.0000
Hf: 0.0000 0.5000 0.0000
N: 0.5000 0.5000 0.5000

---

Crystalline HfTl2HN at its relaxed geometry. Source: Alexandria, functional PBE.

Output
Its space group is P4/mmm, No. 123. The value obtained for the raw total energy is -4.496 eV/atom.

Cell: 5.3942 2.9234 5.3942 Å, 90.00 90.00 90.00°
Sites, in units of the cell vectors:
N: 0.0000 0.5000 0.0000
Tl: 0.0000 0.0000 0.5000
Tl: 0.5000 0.0000 0.0000
Hf: 0.5000 0.5000 0.5000
H: 0.0000 0.0000 0.0000

---

Crystalline Hf6Zr2HN at its relaxed geometry. Source: Alexandria, functional PBE.

Output
Its space group is C2/m, No. 12. The value obtained for the raw total energy is -9.236 eV/atom.

Cell: 6.3621 6.3621 6.3899 Å, 119.76 119.76 90.19°
Sites, in units of the cell vectors:
Hf: 0.2492 0.7510 0.9998
Hf: 0.7522 0.7527 0.5051
Hf: 0.2475 0.2480 0.4944
Hf: 0.7509 0.7514 0.0006
Hf: 0.7506 0.2498 0.9998
Hf: 0.2489 0.2494 0.9990
Zr: 0.2500 0.7503 0.4998
Zr: 0.7498 0.2505 0.4998
H: 0.5000 0.5005 0.0001
N: 0.9999 0.0004 0.9997

---

Crystalline Hf2Zr3H2N2 at its relaxed geometry. Source: Alexandria, functional PBE.

Output
Its space group is I4/mmm, No. 139. The value obtained for the raw total energy is -7.902 eV/atom.

Cell: 4.2006 4.2006 8.4550 Å, 104.38 104.38 90.00°
Sites, in units of the cell vectors:
Hf: 0.5853 0.5853 0.1706
Hf: 0.4147 0.4147 0.8294
H: 0.2226 0.2226 0.4453
H: 0.7774 0.7774 0.5547
Zr: 0.0000 0.0000 0.0000
Zr: 0.2500 0.7500 0.5000
Zr: 0.7500 0.2500 0.5000
N: 0.0000 0.5000 0.0000
N: 0.5000 0.0000 0.0000

---

Crystalline Na2HfH6 at its relaxed geometry. Source: Alexandria, functional PBE.

Output
Its space group is Fm-3m, No. 225. The value obtained for the raw total energy is -3.560 eV/atom.

Cell: 5.6464 5.6464 5.6464 Å, 60.00 60.00 60.00°
Sites, in units of the cell vectors:
Na: 0.2500 0.2500 0.2500
Na: 0.7500 0.7500 0.7500
H: 0.2438 0.7562 0.2438
H: 0.7562 0.2438 0.7562
H: 0.7562 0.7562 0.2438
H: 0.2438 0.7562 0.7562
H: 0.7562 0.2438 0.2438
H: 0.2438 0.2438 0.7562
Hf: 0.0000 0.0000 0.0000

---

Crystalline NaHfH3 at its relaxed geometry. Source: Alexandria, functional PBE.

Output
The calculation puts the energy above the lowest structure with this stoichiometry at 0.000 eV/atom. Its space group is Pm-3m, No. 221.

Cell: 3.8925 3.8925 3.8925 Å, 90.00 90.00 90.00°
Sites, in units of the cell vectors:
H: 0.5000 0.0000 0.0000
H: 0.0000 0.5000 0.0000
H: 0.0000 0.0000 0.5000
Hf: 0.0000 0.0000 0.0000
Na: 0.5000 0.5000 0.5000

---

Crystalline NaHf2H8 at its relaxed geometry. Source: Alexandria, functional PBE.

Output
Its space group is C2/m, No. 12. The value obtained for the raw total energy is -4.672 eV/atom.

Cell: 3.6927 5.4876 5.4876 Å, 112.97 95.01 95.01°
Sites, in units of the cell vectors:
H: 0.2790 0.5864 0.5864
H: 0.9732 0.6801 0.9613
H: 0.5000 0.7489 0.2511
H: 0.0268 0.0387 0.3199
H: 0.0268 0.3199 0.0387
H: 0.9732 0.9613 0.6801
H: 0.7210 0.4136 0.4136
H: 0.5000 0.2511 0.7489
Na: 0.5000 0.0000 0.0000
Hf: 0.0000 0.6793 0.3207
Hf: 0.0000 0.3207 0.6793

---

Crystalline NaHfH3 at its relaxed geometry. Source: Alexandria, functional PBE.

Output
The calculation puts the energy above the lowest structure with this stoichiometry at 0.558 eV/atom. Its space group is Pm-3m, No. 221.

Cell: 3.6856 3.6856 3.6856 Å, 90.00 90.00 90.00°
Sites, in units of the cell vectors:
H: 0.0000 0.5000 0.0000
H: 0.5000 0.0000 0.0000
H: 0.0000 0.0000 0.5000
Hf: 0.5000 0.5000 0.5000
Na: 0.0000 0.0000 0.0000

---

Crystalline Na2HfH6O6 at its relaxed geometry. Source: Alexandria, functional PBE.

Output
Its space group is R-3, No. 148. The value obtained for the raw total energy is -5.840 eV/atom.

Cell: 5.9494 5.9494 5.9494 Å, 61.21 61.21 61.21°
Sites, in units of the cell vectors:
H: 0.0800 0.3340 0.6456
H: 0.9200 0.6660 0.3544
H: 0.6660 0.3544 0.9200
H: 0.3340 0.6456 0.0800
H: 0.6456 0.0800 0.3340
H: 0.3544 0.9200 0.6660
O: 0.4189 0.7100 0.1318
O: 0.8682 0.5811 0.2900
O: 0.1318 0.4189 0.7100
O: 0.5811 0.2900 0.8682
O: 0.7100 0.1318 0.4189
O: 0.2900 0.8682 0.5811
Hf: 0.5000 0.5000 0.5000
Na: 0.1671 0.1671 0.1671
Na: 0.8329 0.8329 0.8329

---

Crystalline NaHf2PH at its relaxed geometry. Source: Alexandria, functional PBE.

Output
Its space group is P4/mmm, No. 123. The value obtained for the raw total energy is -4.884 eV/atom.

Cell: 5.0955 3.3265 5.0955 Å, 90.00 90.00 90.00°
Sites, in units of the cell vectors:
Hf: 0.5000 0.0000 0.0000
Hf: 0.0000 0.0000 0.5000
H: 0.0000 0.5000 0.0000
P: 0.5000 0.5000 0.5000
Na: 0.0000 0.0000 0.0000

---

Crystalline NaHfSbH2 at its relaxed geometry. Source: Alexandria, functional PBE.

Output
Its space group is P4/mmm, No. 123. The value obtained for the raw total energy is -3.697 eV/atom.

Cell: 4.0085 6.6748 4.0085 Å, 90.00 90.00 90.00°
Sites, in units of the cell vectors:
H: 0.5000 0.0000 0.0000
H: 0.0000 0.0000 0.5000
Hf: 0.0000 0.5000 0.0000
Na: 0.0000 0.0000 0.0000
Sb: 0.5000 0.5000 0.5000

---

Crystalline NaHfTe2H at its relaxed geometry. Source: Alexandria, functional PBE.

Output
Its space group is P4/mmm, No. 123. The value obtained for the raw total energy is -4.711 eV/atom.

Cell: 5.6183 5.6183 4.0405 Å, 90.00 90.00 90.00°
Sites, in units of the cell vectors:
Te: 0.5000 0.0000 0.0000
Te: 0.0000 0.5000 0.0000
H: 0.0000 0.0000 0.5000
Na: 0.5000 0.5000 0.5000
Hf: 0.0000 0.0000 0.0000

---

Crystalline NaHfZrH2 at its relaxed geometry. Source: Alexandria, functional PBE.

Output
Its space group is P4/mmm, No. 123. The value obtained for the raw total energy is -4.439 eV/atom.

Cell: 3.8624 5.7128 3.8624 Å, 90.00 90.00 90.00°
Sites, in units of the cell vectors:
H: 0.5000 0.0000 0.0000
H: 0.0000 0.0000 0.5000
Hf: 0.0000 0.0000 0.0000
Na: 0.0000 0.5000 0.0000
Zr: 0.5000 0.5000 0.5000

---

Crystalline Hf2NbH3 at its relaxed geometry. Source: Alexandria, functional PBE.

Output
Its space group is C2/c, No. 15. The value obtained for the raw total energy is -6.928 eV/atom.

Cell: 5.0515 6.1574 5.8224 Å, 119.11 115.71 90.00°
Sites, in units of the cell vectors:
H: 0.0085 0.1095 0.2429
H: 0.2344 0.6095 0.2429
H: 0.6196 0.7500 0.0000
H: 0.9915 0.8905 0.7571
H: 0.3804 0.2500 0.0000
H: 0.7656 0.3905 0.7571
Hf: 0.3242 0.4144 0.6595
Hf: 0.6647 0.0856 0.3405
Hf: 0.3353 0.9144 0.6595
Hf: 0.6758 0.5856 0.3405
Nb: 0.9963 0.2500 0.0000
Nb: 0.0037 0.7500 0.0000

---

Crystalline Hf2NbH at its relaxed geometry. Source: Alexandria, functional PBE.

Output
The calculation puts the energy above the lowest structure with this stoichiometry at 0.000 eV/atom. Its space group is R-3m, No. 166.

Cell: 3.1355 3.1355 7.8282 Å, 78.45 78.45 60.00°
Sites, in units of the cell vectors:
Hf: 0.2259 0.2259 0.3223
Hf: 0.7741 0.7741 0.6777
H: 0.5000 0.5000 0.5000
Nb: 0.0000 0.0000 0.0000

---

Crystalline HfNbH4 at its relaxed geometry. Source: Alexandria, functional PBE.

Output
Its space group is P4/mmm, No. 123. The value obtained for the raw total energy is -5.954 eV/atom.

Cell: 4.6789 4.6790 5.6160 Å, 114.64 114.62 90.00°
Sites, in units of the cell vectors:
Nb: 0.0000 0.0000 0.5000
Nb: 0.5000 0.5000 0.5000
Hf: 0.2500 0.7500 0.0000
Hf: 0.7500 0.2500 0.0000
H: 0.6295 0.1294 0.2588
H: 0.3705 0.8706 0.7412
H: 0.6292 0.6294 0.2588
H: 0.1295 0.6294 0.2588
H: 0.1292 0.1294 0.2588
H: 0.8708 0.8706 0.7412
H: 0.8705 0.3706 0.7412
H: 0.3708 0.3706 0.7412

---

Crystalline HfNb2H2 at its relaxed geometry. Source: Alexandria, functional PBE.

Output
The calculation puts the energy above the lowest structure with this stoichiometry at 0.000 eV/atom. Its space group is C2/c, No. 15.

Cell: 5.7089 5.6773 5.6773 Å, 90.00 120.50 120.50°
Sites, in units of the cell vectors:
H: 0.2815 0.8944 0.7827
H: 0.7185 0.1056 0.2173
H: 0.2185 0.2173 0.1056
H: 0.7815 0.7827 0.8944
Hf: 0.7500 0.1358 0.8642
Hf: 0.2500 0.8642 0.1358
Nb: 0.0000 0.5000 0.5000
Nb: 0.5000 0.5000 0.0000
Nb: 0.5000 0.5000 0.5000
Nb: 0.0000 0.0000 0.5000

---

Crystalline Hf2Nb2H7 at its relaxed geometry. Source: Alexandria, functional PBE.

Output
Its space group is Cmmm, No. 65. The value obtained for the raw total energy is -6.086 eV/atom.

Cell: 3.9560 4.9504 4.9504 Å, 87.05 90.01 90.01°
Sites, in units of the cell vectors:
H: 0.7546 0.4999 0.4999
H: 0.7506 0.5001 0.0001
H: 0.2454 0.5001 0.5001
H: 0.7506 0.0001 0.5001
H: 0.0000 0.0000 0.0000
H: 0.2494 0.9999 0.4999
H: 0.2494 0.4999 0.9999
Hf: 0.5000 0.7615 0.2385
Hf: 0.5000 0.2385 0.7615
Nb: 0.0000 0.7426 0.7426
Nb: 0.0000 0.2574 0.2574